1.
# Sc5Cl (PBE, optimized geometry)
data_Sc5Cl
_chemical_formula_sum 'Sc5 Cl1'
_cell_length_a 5.9311
_cell_length_b 5.9311
_cell_length_c 5.6490
_cell_angle_alpha 90.00
_cell_angle_beta 90.00
_cell_angle_gamma 120.00
_space_group_name_H-M_alt 'P 6/m m m'
_space_group_IT_number 191
_space_group_name_Hall '-P 6 2'
loop_
_atom_site_label
_atom_site_type_symbol
_atom_site_fract_x
_atom_site_fract_y
_atom_site_fract_z
Sc1 Sc 0.0000 0.5000 0.0000
Sc2 Sc 0.3333 0.6667 0.5000
Cl1 Cl 0.0000 0.0000 0.5000
# V: 172 Å³/cell
# Calculated total energy: -30.4 eV/cell
# Uncorrected formation energy: 0.5219 eV/atom

2.
# ScCl3 (PBE, optimized geometry)
data_ScCl3
_chemical_formula_sum 'Sc2 Cl6'
_cell_length_a 5.0005
_cell_length_b 13.2993
_cell_length_c 3.6801
_cell_angle_alpha 90.00
_cell_angle_beta 90.00
_cell_angle_gamma 90.00
_space_group_name_H-M_alt 'C m m m'
_space_group_IT_number 65
_space_group_name_Hall '-C 2 2'
loop_
_atom_site_label
_atom_site_type_symbol
_atom_site_fract_x
_atom_site_fract_y
_atom_site_fract_z
Sc1 Sc 0.0000 0.0000 0.0000
Cl1 Cl 0.0000 0.1282 0.5000
Cl2 Cl 0.0000 0.5000 0.0000
# V: 245 Å³/cell
# Calculated total energy: -40.3 eV/cell
# Uncorrected formation energy: -2.0652 eV/atom

3.
# ScCl3 (PBE, optimized geometry)
data_ScCl3
_chemical_formula_sum 'Sc2 Cl6'
_cell_length_a 4.4796
_cell_length_b 4.4796
_cell_length_c 7.6287
_cell_angle_alpha 90.00
_cell_angle_beta 90.00
_cell_angle_gamma 90.00
_space_group_name_H-M_alt 'I 4/m m m'
_space_group_IT_number 139
_space_group_name_Hall '-I 4 2'
loop_
_atom_site_label
_atom_site_type_symbol
_atom_site_fract_x
_atom_site_fract_y
_atom_site_fract_z
Sc1 Sc 0.0000 0.0000 0.0000
Cl1 Cl 0.0000 0.0000 0.5000
Cl2 Cl 0.0000 0.5000 0.2500
# V: 153 Å³/cell
# Calculated total energy: -33.3 eV/cell
# Uncorrected formation energy: -1.1913 eV/atom

4.
# Sc3Cl (PBE, optimized geometry)
data_Sc3Cl
_chemical_formula_sum 'Sc6 Cl2'
_cell_length_a 4.2717
_cell_length_b 4.2717
_cell_length_c 10.1018
_cell_angle_alpha 90.00
_cell_angle_beta 90.00
_cell_angle_gamma 90.00
_space_group_name_H-M_alt 'I 4/m m m'
_space_group_IT_number 139
_space_group_name_Hall '-I 4 2'
loop_
_atom_site_label
_atom_site_type_symbol
_atom_site_fract_x
_atom_site_fract_y
_atom_site_fract_z
Sc1 Sc 0.0000 0.0000 0.0000
Sc2 Sc 0.0000 0.5000 0.2500
Cl1 Cl 0.0000 0.0000 0.5000
# V: 184 Å³/cell
# Calculated total energy: -41.7 eV/cell
# Uncorrected formation energy: -0.0019 eV/atom

5.
# Sc4Cl5 (PBE, optimized geometry)
data_Sc4Cl5
_chemical_formula_sum 'Sc8 Cl10'
_cell_length_a 7.4277
_cell_length_b 7.4277
_cell_length_c 7.3201
_cell_angle_alpha 90.00
_cell_angle_beta 90.00
_cell_angle_gamma 120.00
_space_group_name_H-M_alt 'P 63/m c m'
_space_group_IT_number 193
_space_group_name_Hall '-P 6c 2'
loop_
_atom_site_label
_atom_site_type_symbol
_atom_site_fract_x
_atom_site_fract_y
_atom_site_fract_z
Sc1 Sc 0.0000 0.0000 0.0000
Sc2 Sc 0.0000 0.4026 0.2500
Cl1 Cl 0.0000 0.2498 0.7500
Cl2 Cl 0.3333 0.6667 0.0000
# V: 350 Å³/cell
# Calculated total energy: -88.0 eV/cell
# Uncorrected formation energy: -1.0500 eV/atom

6.
# Sc4Cl (PBE, optimized geometry)
data_Sc4Cl
_chemical_formula_sum 'Sc4 Cl1'
_cell_length_a 4.8751
_cell_length_b 4.8751
_cell_length_c 4.8751
_cell_angle_alpha 90.00
_cell_angle_beta 90.00
_cell_angle_gamma 90.00
_space_group_name_H-M_alt 'P m -3 m'
_space_group_IT_number 221
_space_group_name_Hall '-P 4 2 3'
loop_
_atom_site_label
_atom_site_type_symbol
_atom_site_fract_x
_atom_site_fract_y
_atom_site_fract_z
Sc1 Sc 0.0000 0.0000 0.0000
Sc2 Sc 0.0000 0.5000 0.5000
Cl1 Cl 0.5000 0.5000 0.5000
# V: 116 Å³/cell
# Calculated total energy: -28.9 eV/cell
# Uncorrected formation energy: -0.3528 eV/atom

7.
# Sc2Cl (PBE, optimized geometry)
data_Sc2Cl
_chemical_formula_sum 'Sc8 Cl4'
_cell_length_a 5.3539
_cell_length_b 5.3539
_cell_length_c 8.6911
_cell_angle_alpha 90.00
_cell_angle_beta 90.00
_cell_angle_gamma 90.00
_space_group_name_H-M_alt 'I 41/a m d'
_space_group_IT_number 141
loop_
_space_group_symop_operation_xyz
'x,y,z'
'-x,-y,-z'
'-y+1/4,x+3/4,z+1/4'
'y+1/4,-x+3/4,-z+1/4'
'-x+1/2,-y,z+1/2'
'x+1/2,y,-z+1/2'
'y+1/4,-x+1/4,z+3/4'
'-y+1/4,x+1/4,-z+3/4'
'x,-y,-z'
'-x,y,z'
'-y+1/4,-x+1/4,-z+3/4'
'y+1/4,x+1/4,z+3/4'
'-x+1/2,y,-z+1/2'
'x+1/2,-y,z+1/2'
'y+1/4,x+3/4,-z+1/4'
'-y+1/4,-x+3/4,z+1/4'
'x+1/2,y+1/2,z+1/2'
'-x+1/2,-y+1/2,-z+1/2'
'-y+3/4,x+1/4,z+3/4'
'y+3/4,-x+1/4,-z+3/4'
'-x,-y+1/2,z'
'x,y+1/2,-z'
'y+3/4,-x+3/4,z+1/4'
'-y+3/4,x+3/4,-z+1/4'
'x+1/2,-y+1/2,-z+1/2'
'-x+1/2,y+1/2,z+1/2'
'-y+3/4,-x+3/4,-z+1/4'
'y+3/4,x+3/4,z+1/4'
'-x,y+1/2,-z'
'x,-y+1/2,z'
'y+3/4,x+1/4,-z+3/4'
'-y+3/4,-x+1/4,z+3/4'
loop_
_atom_site_label
_atom_site_type_symbol
_atom_site_fract_x
_atom_site_fract_y
_atom_site_fract_z
Sc1 Sc 0.0000 0.2500 0.0708
Cl1 Cl 0.0000 0.2500 0.3750
# V: 249 Å³/cell
# Calculated total energy: -66.8 eV/cell
# Uncorrected formation energy: -0.7261 eV/atom

8.
# Sc2Cl3 (PBE, optimized geometry)
data_Sc2Cl3
_chemical_formula_sum 'Sc2 Cl3'
_cell_length_a 4.5497
_cell_length_b 4.5497
_cell_length_c 5.6124
_cell_angle_alpha 90.00
_cell_angle_beta 90.00
_cell_angle_gamma 120.00
_space_group_name_H-M_alt 'P -3 m 1'
_space_group_IT_number 164
_space_group_name_Hall '-P 3 2"'
loop_
_atom_site_label
_atom_site_type_symbol
_atom_site_fract_x
_atom_site_fract_y
_atom_site_fract_z
Sc1 Sc 0.3333 0.6667 0.3350
Cl1 Cl 0.0000 0.0000 0.5000
Cl2 Cl 0.3333 0.6667 0.8158
# V: 101 Å³/cell
# Calculated total energy: -25.1 eV/cell
# Uncorrected formation energy: -1.3774 eV/atom

9.
# Sc2Cl (PBE, optimized geometry)
data_Sc2Cl
_chemical_formula_sum 'Sc16 Cl8'
_cell_length_a 5.1292
_cell_length_b 5.1292
_cell_length_c 20.8840
_cell_angle_alpha 90.00
_cell_angle_beta 90.00
_cell_angle_gamma 90.00
_space_group_name_H-M_alt 'I 41/a m d'
_space_group_IT_number 141
loop_
_space_group_symop_operation_xyz
'x,y,z'
'-x,-y,-z'
'-y+1/4,x+3/4,z+1/4'
'y+1/4,-x+3/4,-z+1/4'
'-x+1/2,-y,z+1/2'
'x+1/2,y,-z+1/2'
'y+1/4,-x+1/4,z+3/4'
'-y+1/4,x+1/4,-z+3/4'
'x,-y,-z'
'-x,y,z'
'-y+1/4,-x+1/4,-z+3/4'
'y+1/4,x+1/4,z+3/4'
'-x+1/2,y,-z+1/2'
'x+1/2,-y,z+1/2'
'y+1/4,x+3/4,-z+1/4'
'-y+1/4,-x+3/4,z+1/4'
'x+1/2,y+1/2,z+1/2'
'-x+1/2,-y+1/2,-z+1/2'
'-y+3/4,x+1/4,z+3/4'
'y+3/4,-x+1/4,-z+3/4'
'-x,-y+1/2,z'
'x,y+1/2,-z'
'y+3/4,-x+3/4,z+1/4'
'-y+3/4,x+3/4,-z+1/4'
'x+1/2,-y+1/2,-z+1/2'
'-x+1/2,y+1/2,z+1/2'
'-y+3/4,-x+3/4,-z+1/4'
'y+3/4,x+3/4,z+1/4'
'-x,y+1/2,-z'
'x,-y+1/2,z'
'y+3/4,x+1/4,-z+3/4'
'-y+3/4,-x+1/4,z+3/4'
loop_
_atom_site_label
_atom_site_type_symbol
_atom_site_fract_x
_atom_site_fract_y
_atom_site_fract_z
Sc1 Sc 0.0000 0.2500 0.1111
Sc2 Sc 0.0000 0.2500 0.7941
Cl1 Cl 0.0000 0.2500 0.3015
# V: 549 Å³/cell
# Calculated total energy: -123.8 eV/cell
# Uncorrected formation energy: -0.3223 eV/atom

10.
# Sc2Cl (PBE, optimized geometry)
data_Sc2Cl
_chemical_formula_sum 'Sc8 Cl4'
_cell_length_a 11.4258
_cell_length_b 3.3449
_cell_length_c 9.0437
_cell_angle_alpha 90.00
_cell_angle_beta 129.04
_cell_angle_gamma 90.00
_space_group_name_H-M_alt 'C 1 2/m 1'
_space_group_IT_number 12
loop_
_space_group_symop_operation_xyz
'x,y,z'
'-x,-y,-z'
'-x,y,-z'
'x,-y,z'
'x+1/2,y+1/2,z'
'-x+1/2,-y+1/2,-z'
'-x+1/2,y+1/2,-z'
'x+1/2,-y+1/2,z'
loop_
_atom_site_label
_atom_site_type_symbol
_atom_site_fract_x
_atom_site_fract_y
_atom_site_fract_z
Sc1 Sc 0.0494 0.0000 0.2863
Sc2 Sc 0.1711 0.5000 0.0790
Cl1 Cl 0.1751 0.5000 0.5923
# V: 268 Å³/cell
# Calculated total energy: -67.0 eV/cell
# Uncorrected formation energy: -0.7480 eV/atom

11.
# Sc2Cl (PBE, optimized geometry)
data_Sc2Cl
_chemical_formula_sum 'Sc8 Cl4'
_cell_length_a 6.0777
_cell_length_b 6.0777
_cell_length_c 11.3489
_cell_angle_alpha 90.00
_cell_angle_beta 90.00
_cell_angle_gamma 120.00
_space_group_name_H-M_alt 'P 63/m m c'
_space_group_IT_number 194
_space_group_name_Hall '-P 6c 2c'
loop_
_atom_site_label
_atom_site_type_symbol
_atom_site_fract_x
_atom_site_fract_y
_atom_site_fract_z
Sc1 Sc 0.0000 0.0000 0.0000
Sc2 Sc 0.1640 0.3279 0.2500
Cl1 Cl 0.3333 0.6667 0.0783
# V: 363 Å³/cell
# Calculated total energy: -59.5 eV/cell
# Uncorrected formation energy: -0.1182 eV/atom

12.
# Sc2Cl (PBE, optimized geometry)
data_Sc2Cl
_chemical_formula_sum 'Sc4 Cl2'
_cell_length_a 5.7991
_cell_length_b 6.4586
_cell_length_c 3.3504
_cell_angle_alpha 90.00
_cell_angle_beta 90.00
_cell_angle_gamma 90.00
_space_group_name_H-M_alt 'P n n m'
_space_group_IT_number 58
loop_
_space_group_symop_operation_xyz
'x,y,z'
'-x,-y,-z'
'-x,-y,z'
'x,y,-z'
'x+1/2,-y+1/2,-z+1/2'
'-x+1/2,y+1/2,z+1/2'
'-x+1/2,y+1/2,-z+1/2'
'x+1/2,-y+1/2,z+1/2'
loop_
_atom_site_label
_atom_site_type_symbol
_atom_site_fract_x
_atom_site_fract_y
_atom_site_fract_z
Sc1 Sc 0.2038 0.1569 0.0000
Cl1 Cl 0.0000 0.5000 0.0000
# V: 125 Å³/cell
# Calculated total energy: -33.4 eV/cell
# Uncorrected formation energy: -0.7288 eV/atom

13.
# ScCl3 (PBE, optimized geometry)
data_ScCl3
_chemical_formula_sum 'Sc1 Cl3'
_cell_length_a 4.2208
_cell_length_b 4.2208
_cell_length_c 6.6161
_cell_angle_alpha 90.00
_cell_angle_beta 90.00
_cell_angle_gamma 90.00
_space_group_name_H-M_alt 'P 4 m m'
_space_group_IT_number 99
loop_
_space_group_symop_operation_xyz
'x,y,z'
'-y,x,z'
'-x,-y,z'
'y,-x,z'
'-x,y,z'
'y,x,z'
'x,-y,z'
'-y,-x,z'
loop_
_atom_site_label
_atom_site_type_symbol
_atom_site_fract_x
_atom_site_fract_y
_atom_site_fract_z
Sc1 Sc 0.0000 0.0000 0.0000
Cl1 Cl 0.0000 0.5000 0.8062
Cl2 Cl 0.5000 0.5000 0.2174
# V: 118 Å³/cell
# Calculated total energy: -18.0 eV/cell
# Uncorrected formation energy: -1.5435 eV/atom